DFT (PBE) results for a relaxed AcPdC crystal. Values from VASP.

Structure (Quantum ESPRESSO input):
```
&SYSTEM
  ibrav = 0, nat = 6, ntyp = 3
/
ATOMIC_SPECIES
Ac 227.00 Ac.upf
Pd 106.42 Pd.upf
C 12.01 C.upf
ATOMIC_POSITIONS crystal
Ac 0.0014 0.2500 0.2501
Ac 0.9986 0.7500 0.7499
Pd 0.4993 0.7500 0.2497
Pd 0.5007 0.2500 0.7503
C 0.0008 0.2500 0.7502
C 0.9992 0.7500 0.2498
CELL_PARAMETERS angstrom
3.9813 0.0000 0.0000
-0.0086 5.6778 0.0000
-0.0119 -0.0040 5.6804
```

Properties
As for the calculated formation energy: -0.33 eV per formula unit. The space-group type is P-1. The calculation puts the total energy at -18.856 eV/f.u.

DFT (PBE) results for a relaxed Ba3InI crystal. Values from VASP.

Structure (Quantum ESPRESSO input):
```
&SYSTEM
  ibrav = 0, nat = 20, ntyp = 3
/
ATOMIC_SPECIES
Ba 137.33 Ba.upf
In 114.82 In.upf
I 126.90 I.upf
ATOMIC_POSITIONS crystal
Ba 0.0688 0.2501 0.4617
Ba 0.0688 0.2499 0.9617
Ba 0.2798 0.7503 0.3901
Ba 0.2798 0.7497 0.8901
Ba 0.3969 0.2487 0.2221
Ba 0.3969 0.2513 0.7221
Ba 0.6031 0.7487 0.2779
Ba 0.6031 0.7513 0.7779
Ba 0.7202 0.2503 0.1099
Ba 0.7202 0.2497 0.6099
Ba 0.9312 0.7501 0.0383
Ba 0.9312 0.7499 0.5383
In 0.2466 0.7487 0.1206
In 0.2466 0.7513 0.6206
In 0.7534 0.2487 0.3794
In 0.7534 0.2513 0.8794
I 0.3797 0.2502 0.4623
I 0.3797 0.2498 0.9623
I 0.6203 0.7502 0.0377
I 0.6203 0.7498 0.5377
CELL_PARAMETERS angstrom
12.6411 0.0000 0.0000
0.0000 6.5834 0.0000
-7.3063 0.0000 12.0900
```

Properties
The space-group type is P2_1/c. The calculation puts the total energy at -13.299 eV/f.u. For the energy above the most stable polymorph in this dataset, the calculation gives 0 meV per atom. For the uncorrected formation energy, the calculation gives -0.648 eV per atom.

DFT (PBE) results for a relaxed CePaSbSe2 crystal. Values from VASP.

Structure (Quantum ESPRESSO input):
```
&SYSTEM
  ibrav = 0, nat = 5, ntyp = 4
/
ATOMIC_SPECIES
Ce 140.12 Ce.upf
Pa 231.04 Pa.upf
Sb 121.76 Sb.upf
Se 78.96 Se.upf
ATOMIC_POSITIONS crystal
Ce 0.0000 0.0000 0.0000
Pa 0.7602 0.7602 0.0000
Sb 0.3735 0.3735 0.0000
Se 0.1345 0.6345 0.5000
Se 0.6345 0.1345 0.5000
CELL_PARAMETERS angstrom
-2.2241 2.2241 7.0089
2.2241 -2.2241 7.0089
2.2241 2.2241 -7.0089
```

Properties
The space-group type is I4mm. The calculation puts the total energy at -31.409 eV/f.u. For the uncorrected formation energy, the calculation gives -0.978 eV per atom.

DFT (PBE) results for a relaxed NdPuAu2 crystal. Values from VASP.

Structure (Quantum ESPRESSO input):
```
&SYSTEM
  ibrav = 0, nat = 4, ntyp = 3
/
ATOMIC_SPECIES
Nd 144.24 Nd.upf
Pu 244.00 Pu.upf
Au 196.97 Au.upf
ATOMIC_POSITIONS crystal
Nd 0.0000 0.0000 0.0000
Pu 0.5000 0.5000 0.5000
Au 0.2500 0.2500 0.2500
Au 0.7500 0.7500 0.7500
CELL_PARAMETERS angstrom
0.0000 3.6838 3.6838
3.6838 0.0000 3.6838
3.6838 3.6838 0.0000
```

Properties
As for the calculated formation energy: -2.26 eV per formula unit. The space-group type is Fm-3m. The calculation puts the total energy at -27.915 eV/f.u. For the energy above the most stable polymorph in this dataset, the calculation gives 14 meV per atom.

DFT (PBE) results for a relaxed Tb2Sm2Ho4Tm crystal. Values from VASP.

Structure (Quantum ESPRESSO input):
```
&SYSTEM
  ibrav = 0, nat = 9, ntyp = 4
/
ATOMIC_SPECIES
Tb 158.93 Tb.upf
Sm 150.36 Sm.upf
Ho 164.93 Ho.upf
Tm 168.93 Tm.upf
ATOMIC_POSITIONS crystal
Tb 0.1475 0.1475 0.1639
Tb 0.8525 0.8525 0.8361
Sm 0.3346 0.3346 0.5002
Sm 0.6654 0.6654 0.4998
Ho 0.1851 0.1851 0.8350
Ho 0.4809 0.4809 0.1665
Ho 0.5191 0.5191 0.8335
Ho 0.8149 0.8149 0.1650
Tm 0.0000 0.0000 0.5000
CELL_PARAMETERS angstrom
9.2966 -1.7907 0.0000
9.2966 1.7907 0.0000
-4.1314 0.0000 8.5781
```

Properties
As for the calculated formation energy: -0.01 eV per formula unit. The space-group type is C2/m. The calculation puts the total energy at -41.487 eV/f.u.

DFT (PBE) results for a relaxed LiTm2HfP4 crystal. Values from VASP.

Structure (Quantum ESPRESSO input):
```
&SYSTEM
  ibrav = 0, nat = 8, ntyp = 4
/
ATOMIC_SPECIES
Li 6.94 Li.upf
Tm 168.93 Tm.upf
Hf 178.49 Hf.upf
P 30.97 P.upf
ATOMIC_POSITIONS crystal
Li 0.0000 0.0000 0.0000
Tm 0.5000 0.0000 0.5000
Tm 0.5000 0.5000 0.0000
Hf 0.0000 0.5000 0.5000
P 0.2354 0.0000 0.7413
P 0.2376 0.5000 0.2537
P 0.7624 0.5000 0.7463
P 0.7646 0.0000 0.2587
CELL_PARAMETERS angstrom
6.5652 0.0000 0.0000
0.0000 3.8306 0.0000
-2.2610 0.0000 6.3653
```

Properties
As for the calculated formation energy: -8.91 eV per formula unit. The space-group type is P2/m. The calculation puts the total energy at -51.362 eV/f.u.